A plane-wave DFT calculation with GGA-PBE was carried out for crystalline AcPaGaSi at its relaxed geometry.

Cell: 7.396 7.396 7.396 Å, 90.00 90.00 90.00°
Space group F-43m (No. 216)
Inequivalent atoms, fractional coordinates:
Ac 0.000 0.000 0.000 [4 per cell]
Pa 0.000 0.000 0.500 [4 per cell]
Ga 0.250 0.250 0.750 [4 per cell]
Si 0.250 0.250 0.250 [4 per cell]

Total DFT energy (no corrections): -89.84 eV for the cell shown